The following is a DFT calculation (GGA+U) of ZrCoWO2 after structural relaxation.

a = 3.924 Å, b = 3.924 Å, c = 6.334 Å
α = 90.00°, β = 90.00°, γ = 90.00°
Fractional coordinates of all 5 atoms:
Zr1 0.000 0.000 0.000
Co1 0.500 0.500 0.500
W1 0.000 0.000 0.500
O1 0.000 0.500 0.000
O2 0.500 0.000 0.000

As for the total energy: -5.9513 eV per atom. As for the density of states at the Fermi level: 0.860 states/eV per atom.